Record 1
# HfTaS2

A relaxed HfTaS2 crystal (GGA-PBE, the Alexandria database).

Cell: 4.4436 4.4436 4.4436 Å, 60.00 60.00 60.00°
Element x y z (fractional)
S1 0.2500 0.2500 0.2500
S2 0.7500 0.7500 0.7500
Hf1 0.0000 0.0000 0.0000
Ta1 0.5000 0.5000 0.5000

## Properties
volume: 62.0 Å³ per cell
E_form (uncorrected): -0.7418 eV/atom
symmetry: Fm-3m (225)
VASP energy: -8.2571 eV/atom



Record 2
# RuPbO2F

A relaxed RuPbO2F crystal (GGA-PBE, the Alexandria database).

Cell: 3.9947 3.9947 4.3761 Å, 90.00 90.00 90.00°
Last column: magnetic moment on the atom in μB.
Element x y z (fractional)
Pb1 0.5000 0.5000 0.5000  0.01
Ru1 0.0000 0.0000 0.0000  1.51
O1 0.0000 0.5000 0.0000  0.19
O2 0.5000 0.0000 0.0000  0.19
F1 0.0000 0.0000 0.5000  0.02

## Properties
volume: 69.8 Å³ per cell
E_form (uncorrected): -0.9735 eV/atom
symmetry: P4/mmm (123)
VASP energy: -5.9279 eV/atom



Record 3
# Tm2HfAu

A relaxed Tm2HfAu crystal (GGA-PBE, the Alexandria database).

Cell: 3.3885 3.3885 8.3818 Å, 90.00 90.00 90.00°
Element x y z (fractional)
Hf1 0.5000 0.5000 0.5000
Tm1 0.0000 0.0000 0.7705
Tm2 0.0000 0.0000 0.2295
Au1 0.5000 0.5000 0.0000

## Properties
energy of formation: -1.5 eV per formula unit
volume: 96.2 Å³ per cell
symmetry: P4/mmm (123)
VASP energy: -5.9135 eV/atom



Record 4
# BaLa2Bi2

A relaxed BaLa2Bi2 crystal (GGA-PBE, the Alexandria database).

Cell: 9.1958 9.1958 4.3953 Å, 90.00 90.00 90.00°
Element x y z (fractional)
Ba1 0.0000 0.0000 0.0000
Ba2 0.5000 0.5000 0.0000
Bi1 0.3528 0.8528 0.0000
Bi2 0.8528 0.6472 0.0000
Bi3 0.6472 0.1472 0.0000
Bi4 0.1472 0.3528 0.0000
La1 0.1491 0.6491 0.5000
La2 0.6491 0.8509 0.5000
La3 0.8509 0.3509 0.5000
La4 0.3509 0.1491 0.5000

## Properties
energy of formation: -4.0 eV per formula unit
volume: 371.7 Å³ per cell
symmetry: P4/mbm (127)
VASP energy: -4.7172 eV/atom



Record 5
# BaTaCd2

A relaxed BaTaCd2 crystal (GGA-PBE, the Alexandria database).

Cell: 11.5614 11.5614 11.5614 Å, 15.87 15.87 15.87°
Element x y z (fractional)
Cd1 0.0085 0.0085 0.0085
Cd2 0.7533 0.7533 0.7533
Ba1 0.2474 0.2474 0.2474
Ta1 0.4908 0.4908 0.4908

## Properties
energy of formation: 2.4 eV per formula unit
volume: 100.8 Å³ per cell
symmetry: R3m (160)
VASP energy: -3.2994 eV/atom



Record 6
# TiBNF2

A relaxed TiBNF2 crystal (GGA-PBE, the Alexandria database).

Cell: 3.9572 3.9572 3.9280 Å, 90.00 90.00 90.00°
Element x y z (fractional)
N1 0.0000 0.0000 0.5000
F1 0.0000 0.5000 0.0000
F2 0.5000 0.0000 0.0000
B1 0.5000 0.5000 0.5000
Ti1 0.0000 0.0000 0.0000

## Properties
volume: 61.5 Å³ per cell
E_form (uncorrected): -0.7034 eV/atom
symmetry: P4/mmm (123)
VASP energy: -6.0315 eV/atom



Record 7
# Mg2Pd12Pt5

A relaxed Mg2Pd12Pt5 crystal (GGA-PBE, the Alexandria database).

Cell: 4.8888 8.2314 8.2314 Å, 68.09 79.70 79.70°
Element x y z (fractional)
Mg1 0.0000 0.2448 0.7552
Mg2 0.0000 0.7552 0.2448
Pd1 0.0075 0.8841 0.8841
Pd2 0.2042 0.5453 0.0579
Pd3 0.2042 0.0579 0.5453
Pd4 0.6178 0.6497 0.1514
Pd5 0.6178 0.1514 0.6497
Pd6 0.2876 0.4409 0.4409
Pd7 0.7124 0.5591 0.5591
Pd8 0.3822 0.3503 0.8486
Pd9 0.3822 0.8486 0.3503
Pd10 0.7958 0.4547 0.9421
Pd11 0.7958 0.9421 0.4547
Pd12 0.9925 0.1159 0.1159
Pt1 0.4470 0.2131 0.2131
Pt2 0.8647 0.3280 0.3280
Pt3 0.5000 0.0000 0.0000
Pt4 0.1353 0.6720 0.6720
Pt5 0.5530 0.7869 0.7869

## Properties
energy of formation: -2.3 eV per formula unit
volume: 300.1 Å³ per cell
symmetry: C2/m (12)
VASP energy: -5.1568 eV/atom



Record 8
# HfSc2W

A relaxed HfSc2W crystal (GGA-PBE, the Alexandria database).

Cell: 4.8538 4.8538 4.8538 Å, 60.00 60.00 60.00°
Element x y z (fractional)
Sc1 0.2500 0.2500 0.2500
Sc2 0.7500 0.7500 0.7500
Hf1 0.0000 0.0000 0.0000
W1 0.5000 0.5000 0.5000

## Properties
energy of formation: 1.5 eV per formula unit
volume: 80.9 Å³ per cell
symmetry: Fm-3m (225)
VASP energy: -8.5100 eV/atom



Record 9
# KRb2CdPd

A relaxed KRb2CdPd crystal (GGA-PBE, the Alexandria database).

Cell: 6.6463 6.6463 5.3886 Å, 90.00 90.00 90.00°
Element x y z (fractional)
K1 0.5000 0.5000 0.5000
Rb1 0.0000 0.5000 0.0000
Rb2 0.5000 0.0000 0.0000
Pd1 0.0000 0.0000 0.0000
Cd1 0.0000 0.0000 0.5000

## Properties
energy of formation: 0.1 eV per formula unit
volume: 238.0 Å³ per cell
symmetry: P4/mmm (123)
VASP energy: -1.8147 eV/atom



Record 10
# AcAgS2

A relaxed AcAgS2 crystal (GGA-PBE, the Alexandria database).

Cell: 7.1513 7.4281 7.5582 Å, 90.00 90.00 101.05°
Element x y z (fractional)
Ac1 0.7981 0.1973 0.9446
Ac2 0.2019 0.3027 0.4446
Ac3 0.2019 0.8027 0.0554
Ac4 0.7981 0.6973 0.5554
Ag1 0.3298 0.8605 0.5958
Ag2 0.6702 0.1395 0.4042
Ag3 0.6702 0.6395 0.0958
Ag4 0.3298 0.3605 0.9042
S1 0.0767 0.0073 0.7344
S2 0.9233 0.4927 0.2344
S3 0.9233 0.9927 0.2656
S4 0.0767 0.5073 0.7656
S5 0.4279 0.1803 0.1490
S6 0.4279 0.6803 0.3510
S7 0.5721 0.8197 0.8510
S8 0.5721 0.3197 0.6490

## Properties
volume: 394.1 Å³ per cell
E_form (uncorrected): -1.4225 eV/atom
symmetry: P2_1/c (14)
VASP energy: -5.2261 eV/atom



Record 11
# Na2PaZnTe4

A relaxed Na2PaZnTe4 crystal (GGA-PBE, the Alexandria database).

Cell: 7.3669 6.6758 6.6758 Å, 72.28 56.51 56.51°
Last column: magnetic moment on the atom in μB.
Element x y z (fractional)
Na1 0.0000 0.5000 0.5000  0.00
Na2 0.5000 0.5000 0.5000  0.00
Pa1 0.0000 0.0000 0.0000  1.05
Zn1 0.5000 0.0000 0.0000  0.00
Te1 0.0899 0.3947 0.0000  -0.03
Te2 0.9101 0.0000 0.6053  -0.03
Te3 0.5154 0.0000 0.3947  -0.03
Te4 0.4846 0.6053 0.0000  -0.03

## Properties
volume: 228.4 Å³ per cell
E_form (uncorrected): -0.6612 eV/atom
symmetry: I-42m (121)
VASP energy: -3.9080 eV/atom



Record 12
# Tm2Al3Pd2

A relaxed Tm2Al3Pd2 crystal (GGA-PBE, the Alexandria database).

Cell: 4.3105 5.4241 6.8171 Å, 112.11 90.00 113.41°
Element x y z (fractional)
Tm1 0.8516 0.7032 0.2213
Tm2 0.1484 0.2968 0.7787
Al1 0.5000 0.0000 0.0000
Al2 0.6205 0.2410 0.4398
Al3 0.3795 0.7590 0.5602
Pd1 0.8631 0.7262 0.7821
Pd2 0.1369 0.2738 0.2179

## Properties
energy of formation: -5.6 eV per formula unit
volume: 133.4 Å³ per cell
symmetry: C2/m (12)
VASP energy: -5.1657 eV/atom



Record 13
# AcH4Rh

A relaxed AcH4Rh crystal (GGA-PBE, the Alexandria database).

Cell: 4.0122 5.2669 6.6518 Å, 90.00 107.64 90.00°
Element x y z (fractional)
Ac1 0.8689 0.7806 0.7378
Ac2 0.1311 0.2806 0.2622
H1 0.9077 0.2806 0.8162
H2 0.0923 0.7806 0.1838
H3 0.5000 0.0305 0.0000
H4 0.5000 0.5305 0.0000
H5 0.6909 0.5412 0.3813
H6 0.3091 0.0412 0.6187
H7 0.6909 0.0200 0.3813
H8 0.3091 0.5200 0.6187
Rh1 0.5952 0.7805 0.1915
Rh2 0.4048 0.2805 0.8085

## Properties
volume: 134.0 Å³ per cell
symmetry: P2_1/m (11)
VASP energy: -4.6679 eV/atom



Record 14
# Ir6Ru2W

A relaxed Ir6Ru2W crystal (GGA-PBE, the Alexandria database).

Cell: 5.0799 7.5093 7.5093 Å, 106.31 95.21 95.21°
Element x y z (fractional)
Ir1 0.5149 0.3655 0.7333
Ir2 0.9851 0.2667 0.6345
Ir3 0.4851 0.6345 0.2667
Ir4 0.0149 0.7333 0.3655
Ir5 0.6791 0.9268 0.5797
Ir6 0.8209 0.4203 0.0732
Ir7 0.3209 0.0732 0.4203
Ir8 0.1791 0.5797 0.9268
Ir9 0.3194 0.2718 0.0278
Ir10 0.1806 0.9722 0.7282
Ir11 0.6806 0.7282 0.9722
Ir12 0.8194 0.0278 0.2718
Ru1 0.1282 0.3797 0.3478
Ru2 0.3718 0.6522 0.6203
Ru3 0.8718 0.6203 0.6522
Ru4 0.6282 0.3478 0.3797
W1 0.2500 0.9311 0.0689
W2 0.7500 0.0689 0.9311

## Properties
energy of formation: 1.4 eV per formula unit
volume: 271.8 Å³ per cell
symmetry: C2/c (15)
VASP energy: -9.2488 eV/atom



Record 15
# OsPtSe4

A relaxed OsPtSe4 crystal (GGA-PBE, the Alexandria database).

Cell: 3.7262 6.4650 6.5015 Å, 119.96 90.02 106.72°
Element x y z (fractional)
Os1 0.5000 0.9998 0.5000
Pt1 0.0000 0.0001 0.0000
Se1 0.8767 0.7527 0.5381
Se2 0.1233 0.2470 0.4621
Se3 0.3763 0.7522 0.0482
Se4 0.6237 0.2480 0.9516

## Properties
volume: 128.0 Å³ per cell
E_form (uncorrected): -0.1687 eV/atom
symmetry: C2/m (12)
VASP energy: -5.3702 eV/atom



Record 16
# Lu3InS6

A relaxed Lu3InS6 crystal (GGA-PBE, the Alexandria database).

Cell: 3.7825 13.2975 16.3639 Å, 90.00 90.00 90.00°
Element x y z (fractional)
Lu1 0.2497 0.0369 0.7743
Lu2 0.2497 0.9630 0.2257
Lu3 0.7503 0.4630 0.2743
Lu4 0.7503 0.5370 0.7257
Lu5 0.2505 0.2502 0.6091
Lu6 0.2505 0.7498 0.3909
Lu7 0.7495 0.2498 0.1091
Lu8 0.7495 0.7502 0.8909
Lu9 0.7502 0.3098 0.8548
Lu10 0.7502 0.6902 0.1452
Lu11 0.2498 0.1902 0.3548
Lu12 0.2498 0.8098 0.6452
In1 0.7501 0.0000 0.5000
In2 0.2499 0.5000 0.0000
In3 0.2511 0.5000 0.5000
In4 0.7489 0.0000 0.0000
S1 0.7505 0.4016 0.5906
S2 0.7505 0.5984 0.4094
S3 0.2495 0.0984 0.0906
S4 0.2495 0.9016 0.9094
S5 0.2500 0.3045 0.9789
S6 0.2500 0.6955 0.0211
S7 0.7500 0.1955 0.4789
S8 0.7500 0.8045 0.5211
S9 0.7495 0.1106 0.8788
S10 0.7495 0.8894 0.1212
S11 0.2505 0.3894 0.3788
S12 0.2505 0.6106 0.6212
S13 0.7506 0.1815 0.7133
S14 0.7506 0.8185 0.2867
S15 0.2494 0.3185 0.2133
S16 0.2494 0.6815 0.7867
S17 0.2503 0.3852 0.7550
S18 0.2503 0.6148 0.2450
S19 0.7497 0.1148 0.2550
S20 0.7497 0.8852 0.7450
S21 0.2500 0.0196 0.6067
S22 0.2500 0.9804 0.3933
S23 0.7500 0.4804 0.1067
S24 0.7500 0.5196 0.8933

## Properties
volume: 823.1 Å³ per cell
E_form (uncorrected): -1.6316 eV/atom
symmetry: Pnnm (58)
VASP energy: -5.7382 eV/atom



Record 17
# AlGaRu2

A relaxed AlGaRu2 crystal (GGA-PBE, the Alexandria database).

Cell: 6.6384 6.6384 5.4711 Å, 52.65 52.65 90.00°
Element x y z (fractional)
Ru1 0.6244 0.1250 0.2500
Ru2 0.1256 0.6250 0.2500
Ru3 0.3750 0.3756 0.7500
Ru4 0.8750 0.8744 0.7500
Al1 0.5000 0.5000 0.0000
Al2 0.2500 0.7500 0.5000
Ga1 0.0000 0.0000 0.0000
Ga2 0.7500 0.2500 0.5000

## Properties
energy of formation: 0.8 eV per formula unit
volume: 123.9 Å³ per cell
symmetry: I-42d (122)
VASP energy: -6.1345 eV/atom



Record 18
# Pa2NbZn

A relaxed Pa2NbZn crystal (GGA-PBE, the Alexandria database).

Cell: 3.0447 3.0447 11.6274 Å, 82.48 82.48 60.00°
Element x y z (fractional)
Nb1 0.5000 0.5000 0.5000
Pa1 0.0893 0.0893 0.7320
Pa2 0.9107 0.9107 0.2680
Zn1 0.0000 0.0000 0.0000

## Properties
energy of formation: 1.4 eV per formula unit
volume: 92.3 Å³ per cell
symmetry: R-3m (166)
VASP energy: -7.2290 eV/atom



Record 19
# AgBr3

A relaxed AgBr3 crystal (GGA-PBE, the Alexandria database).

Cell: 12.8789 12.8789 12.8789 Å, 14.72 14.72 14.72°
Element x y z (fractional)
Br1 0.5000 0.5000 0.5000
Br2 0.9350 0.9350 0.9350
Br3 0.0650 0.0650 0.0650
Ag1 0.0000 0.0000 0.0000

## Properties
volume: 120.0 Å³ per cell
E_form (uncorrected): 0.1996 eV/atom
symmetry: R-3m (166)
VASP energy: -1.7679 eV/atom



Record 20
# ZrBe3B

A relaxed ZrBe3B crystal (GGA-PBE, the Alexandria database).

Cell: 3.7402 3.7402 3.7402 Å, 90.00 90.00 90.00°
Element x y z (fractional)
Be1 0.0000 0.5000 0.0000
Be2 0.0000 0.0000 0.5000
Be3 0.5000 0.0000 0.0000
B1 0.0000 0.0000 0.0000
Zr1 0.5000 0.5000 0.5000

## Properties
energy of formation: 0.5 eV per formula unit
volume: 52.3 Å³ per cell
symmetry: Pm-3m (221)
VASP energy: -5.1790 eV/atom